MoIr2C | GGA-PBE | relaxed

Unit cell a=6.1523 b=6.1523 c=6.1523 alpha=130.43 beta=130.43 gamma=72.71
Closest atoms and distances in Å follow each position.
Element x y z (fractional)
Mo: 0.0000 0.0000 0.0000  4 Ir 2.46
Mo: 0.7500 0.2500 0.5000  4 Ir 2.46
Ir: 0.2020 0.6250 0.0770  2 C 2.00
Ir: 0.3750 0.4520 0.5770  2 C 2.00
Ir: 0.5480 0.1250 0.9230  2 C 2.00
Ir: 0.8750 0.7980 0.4230  2 C 2.00
C: 0.2500 0.7500 0.5000  4 Ir 2.00
C: 0.5000 0.5000 0.0000  4 Ir 2.00

- ΔH_f (0 K): 57 kJ/mol of atoms